Entry 1:
VASP calculation (PBE) on RbMgVBr6 after structural relaxation.

Computed properties:
**ΔE_f (raw)**: -29.05 kcal/mol of atoms
**Symmetry**: P312
**Density**: 3.4 g/cm³

Geometry as POSCAR:
```
RbMgVBr6
1.0
6.843 0.000 0.000
-3.421 5.926 0.000
0.000 0.000 7.786
Rb Mg V Br
1 1 1 6
Direct
0.000 0.000 0.000
0.667 0.333 0.500
0.333 0.667 0.500
0.014 0.379 0.692
0.014 0.635 0.308
0.365 0.379 0.308
0.365 0.986 0.692
0.621 0.635 0.692
0.621 0.986 0.308
```


Entry 2:
VASP calculation (PBE) on Na2SrTl after structural relaxation.

Computed properties:
**Calculated formation energy**: -0.4 eV per formula unit
**Symmetry**: R3m
**Density**: 4.1 g/cm³
**Energy above the most stable polymorph in this dataset**: 0.000 eV per atom

Geometry as POSCAR:
```
Na2SrTl
1.0
2.882 1.664 4.736
-2.882 1.664 4.736
0.000 -3.328 4.736
Na Sr Tl
2 1 1
Direct
0.000 0.000 0.000
0.251 0.251 0.251
0.751 0.751 0.751
0.501 0.501 0.501
```


Entry 3:
VASP calculation (PBE) on BaTlTc4 after structural relaxation.

Computed properties:
**Calculated formation energy**: 4.7 eV per formula unit
**Symmetry**: F-43m
**Density**: 10.3 g/cm³

Geometry as POSCAR:
```
BaTlTc4
1.0
0.000 3.896 3.896
3.896 0.000 3.896
3.896 3.896 0.000
Ba Tl Tc
1 1 4
Direct
0.000 0.000 0.000
0.250 0.250 0.250
0.132 0.623 0.623
0.623 0.132 0.623
0.623 0.623 0.132
0.623 0.623 0.623
```


Entry 4:
VASP calculation (PBE) on CoBiPb2I after structural relaxation.

Computed properties:
**ΔE_f (raw)**: 14.08 kcal/mol of atoms
**Symmetry**: P4/mmm
**Density**: 7.1 g/cm³

Geometry as POSCAR:
```
CoBiPb2I
1.0
6.233 0.000 0.000
0.000 6.233 0.000
0.000 0.000 4.844
Co Bi Pb I
1 1 2 1
Direct
0.000 0.000 0.000
0.000 0.000 0.500
0.000 0.500 0.500
0.500 0.000 0.500
0.500 0.500 0.000
```


Entry 5:
VASP calculation (PBE) on CeBePtN after structural relaxation.

Computed properties:
**ΔE_f (raw)**: -27.00 kcal/mol of atoms
**Symmetry**: P4/nmm
**Density**: 10.2 g/cm³

Geometry as POSCAR:
```
CeBePtN
1.0
3.843 0.000 0.000
0.000 3.843 0.000
0.000 0.000 7.900
Ce Be Pt N
2 2 2 2
Direct
0.250 0.250 0.160
0.750 0.750 0.840
0.250 0.250 0.665
0.750 0.750 0.335
0.250 0.750 0.500
0.750 0.250 0.500
0.250 0.250 0.871
0.750 0.750 0.129
```


Entry 6:
VASP calculation (PBE) on ZrCdInAg after structural relaxation.

Computed properties:
**Calculated formation energy**: -0.1 eV per formula unit
**Symmetry**: F-43m
**Density**: 8.4 g/cm³
**Energy above the most stable polymorph in this dataset**: 0.124 eV per atom

Geometry as POSCAR:
```
ZrCdInAg
1.0
0.000 3.474 3.474
3.474 0.000 3.474
3.474 3.474 0.000
Zr Cd In Ag
1 1 1 1
Direct
0.000 0.000 0.000
0.500 0.500 0.500
0.750 0.750 0.750
0.250 0.250 0.250
```


Entry 7:
VASP calculation (PBE) on CaH4Rh2 after structural relaxation.

Computed properties:
**DFT total energy**: -4.661 eV/atom
**Symmetry**: Fddd
**Density**: 6.0 g/cm³

Geometry as POSCAR:
```
CaH4Rh2
1.0
0.000 4.108 4.131
4.101 0.000 4.131
4.101 4.108 0.000
Ca H Rh
2 8 4
Direct
0.125 0.125 0.125
0.875 0.875 0.875
0.279 0.656 0.283
0.282 0.283 0.656
0.283 0.282 0.279
0.344 0.721 0.718
0.656 0.279 0.282
0.717 0.718 0.721
0.718 0.717 0.344
0.721 0.344 0.717
0.000 0.500 0.500
0.500 0.000 0.500
0.500 0.500 0.000
0.500 0.500 0.500
```


Entry 8:
VASP calculation (PBE) on Y3GaSb after structural relaxation.

Computed properties:
**ΔE_f (raw)**: -7.43 kcal/mol of atoms
**Symmetry**: Pm-3m
**Density**: 4.9 g/cm³
**Energy above the most stable polymorph in this dataset**: 0.000 eV per atom

Geometry as POSCAR:
```
Y3GaSb
1.0
5.374 0.000 0.000
0.000 5.374 0.000
0.000 0.000 5.374
Y Ga Sb
3 1 1
Direct
0.000 0.000 0.500
0.000 0.500 0.000
0.500 0.000 0.000
0.000 0.000 0.000
0.500 0.500 0.500
```


Q: What is the density in the seventh record?
A: 6.0 g/cm³


Q: The highest density belongs to which entry?
A: BaTlTc4


Q: Which value of density does entry 7 give?
A: 6.0 g/cm³


Q: Which of these has the highest density?
A: BaTlTc4